14
Lattice="-4.535 2.619 1.086 -1.722 -0.831 -5.185 -0.825 -6.914 1.382" Properties=species:S:1:pos:R:3 comment="NaHfAlO4 (GGA-PBE, relaxed)" crystal_system=monoclinic space_group="P2_1/m, No. 11" magmom_total_mub_per_cell=0.000 raw_formation_energy_kcal_per_mol_atoms=-65.342 total_energy_ev_per_atom=-7.81 pbc="T T T"
Na -3.735 -5.557 -2.287
Na -3.347 0.431 -0.430
Hf -5.283 -1.759 -2.381
Hf -1.798 -3.366 -0.336
Al -2.645 -2.180 -3.190
Al -4.437 -2.946 0.473
O -5.872 -2.506 -0.511
O -2.023 -3.011 -4.653
O -1.210 -2.619 -2.206
O -5.059 -2.114 1.936
O -3.606 -0.723 -3.104
O -3.476 -4.403 0.387
O -3.931 -3.277 -2.587
O -3.151 -1.849 -0.130